TcNi2Hg after structural relaxation. Source: Alexandria, functional PBE.

Lattice parameters (Å, degrees): 5.744 7.296 2.716 90.00 90.00 90.00
Fractional positions:
Tc (0.000, 0.000, 0.000)
Tc (0.500, 0.500, 0.000)
Ni (0.250, 0.250, 0.500)
Ni (0.250, 0.750, 0.500)
Ni (0.750, 0.250, 0.500)
Ni (0.750, 0.750, 0.500)
Hg (0.000, 0.500, 0.000)
Hg (0.500, 0.000, 0.000)

Calculated values
The symmetry is Cmmm. The value obtained for the size of the total moment is 0.330 μB/atom. The formation enthalpy at 0 K is 0.367 eV/atom. The value obtained for the theoretical density is 12.1 g/cm³.


Tm9Sc4Zn11 after structural relaxation. Source: Alexandria, functional PBE.

Lattice parameters (Å, degrees): 12.823 12.823 3.332 90.00 90.00 109.67
Fractional positions:
Tm (0.000, 0.000, 0.000)
Tm (0.125, 0.644, 0.000)
Tm (0.293, 0.465, 0.000)
Tm (0.356, 0.875, 0.000)
Tm (0.465, 0.293, 0.000)
Tm (0.535, 0.707, 0.000)
Tm (0.644, 0.125, 0.000)
Tm (0.707, 0.535, 0.000)
Tm (0.875, 0.356, 0.000)
Sc (0.068, 0.250, 0.000)
Sc (0.250, 0.068, 0.000)
Sc (0.750, 0.932, 0.000)
Sc (0.932, 0.750, 0.000)
Zn (0.085, 0.440, 0.500)
Zn (0.133, 0.867, 0.500)
Zn (0.253, 0.253, 0.500)
Zn (0.330, 0.670, 0.500)
Zn (0.440, 0.085, 0.500)
Zn (0.500, 0.500, 0.500)
Zn (0.560, 0.915, 0.500)
Zn (0.670, 0.330, 0.500)
Zn (0.747, 0.747, 0.500)
Zn (0.867, 0.133, 0.500)
Zn (0.915, 0.560, 0.500)

Calculated values
The symmetry is Cmmm. The value obtained for the size of the total moment is 0.035 μB/atom. The formation enthalpy at 0 K is -0.255 eV/atom. The value obtained for the theoretical density is 7.8 g/cm³.


Cs2Tl10Sn after structural relaxation. Source: Alexandria, functional PBE.

Lattice parameters (Å, degrees): 11.380 13.146 7.364 90.00 90.00 90.00
Fractional positions:
Cs (0.244, 0.068, 0.000)
Cs (0.256, 0.568, 0.000)
Cs (0.744, 0.432, 0.000)
Cs (0.756, 0.932, 0.000)
Tl (0.040, 0.123, 0.500)
Tl (0.073, 0.318, 0.232)
Tl (0.073, 0.318, 0.768)
Tl (0.179, 0.700, 0.500)
Tl (0.231, 0.939, 0.500)
Tl (0.269, 0.439, 0.500)
Tl (0.321, 0.200, 0.500)
Tl (0.427, 0.818, 0.232)
Tl (0.427, 0.818, 0.768)
Tl (0.460, 0.623, 0.500)
Tl (0.540, 0.377, 0.500)
Tl (0.573, 0.182, 0.232)
Tl (0.573, 0.182, 0.768)
Tl (0.679, 0.800, 0.500)
Tl (0.731, 0.561, 0.500)
Tl (0.769, 0.061, 0.500)
Tl (0.821, 0.300, 0.500)
Tl (0.927, 0.682, 0.232)
Tl (0.927, 0.682, 0.768)
Tl (0.960, 0.877, 0.500)
Sn (0.000, 0.500, 0.500)
Sn (0.500, 0.000, 0.500)

Calculated values
The symmetry is Pbam. The value obtained for the size of the total moment is 0.000 μB/atom. The formation enthalpy at 0 K is -0.007 eV/atom. The value obtained for the theoretical density is 7.3 g/cm³.


MgZr2VH after structural relaxation. Source: Alexandria, functional PBE.

Lattice parameters (Å, degrees): 4.599 4.599 3.852 90.00 90.00 90.00
Fractional positions:
Mg (0.000, 0.000, 0.000)
Zr (0.000, 0.500, 0.500)
Zr (0.500, 0.000, 0.500)
V (0.500, 0.500, 0.000)
H (0.500, 0.500, 0.500)

Calculated values
The symmetry is P4/mmm. Its total energy is -6.241 eV per atom. The value obtained for the size of the total moment is 0.276 μB/atom. The value obtained for the theoretical density is 5.3 g/cm³.


NaHgPb2 after structural relaxation. Source: Alexandria, functional PBE.

Lattice parameters (Å, degrees): 6.424 5.426 6.758 90.00 101.32 90.00
Fractional positions:
Na (0.114, 0.250, 0.206)
Na (0.886, 0.750, 0.794)
Hg (0.103, 0.250, 0.711)
Hg (0.897, 0.750, 0.289)
Pb (0.361, 0.750, 0.584)
Pb (0.401, 0.750, 0.095)
Pb (0.599, 0.250, 0.905)
Pb (0.639, 0.250, 0.416)

Calculated values
The symmetry is P2_1/m. The value obtained for the size of the total moment is 0.000 μB/atom. The formation enthalpy at 0 K is -0.107 eV/atom. The value obtained for the theoretical density is 9.2 g/cm³.


ScIr2 after structural relaxation. Source: Alexandria, functional PBE.

Lattice parameters (Å, degrees): 3.953 3.953 12.547 99.00 99.00 89.99
Fractional positions:
Sc (0.048, 0.800, 0.596)
Sc (0.200, 0.952, 0.904)
Sc (0.800, 0.048, 0.096)
Sc (0.952, 0.200, 0.404)
Ir (0.124, 0.376, 0.750)
Ir (0.296, 0.542, 0.086)
Ir (0.376, 0.124, 0.250)
Ir (0.458, 0.704, 0.414)
Ir (0.542, 0.296, 0.586)
Ir (0.624, 0.876, 0.750)
Ir (0.704, 0.458, 0.914)
Ir (0.876, 0.624, 0.250)

Calculated values
The symmetry is C2/c. The value obtained for the size of the total moment is 0.000 μB/atom. The formation enthalpy at 0 K is -0.664 eV/atom. The value obtained for the theoretical density is 14.9 g/cm³.


TcAu2 after structural relaxation. Source: Alexandria, functional PBE.

Lattice parameters (Å, degrees): 5.331 5.331 5.331 60.00 60.00 60.00
Fractional positions:
Tc (0.125, 0.125, 0.125)
Tc (0.875, 0.875, 0.875)
Au (0.000, 0.500, 0.500)
Au (0.500, 0.000, 0.500)
Au (0.500, 0.500, 0.000)
Au (0.500, 0.500, 0.500)

Calculated values
The symmetry is Fd-3m. The value obtained for the distance to the lowest polymorph of the same formula is 566 meV per atom. The value obtained for the size of the total moment is 0.000 μB/atom. The formation enthalpy at 0 K is 0.836 eV/atom. The value obtained for the theoretical density is 15.2 g/cm³.


Pr3Ho2Hg6 after structural relaxation. Source: Alexandria, functional PBE.

Lattice parameters (Å, degrees): 16.808 16.808 16.808 164.64 164.64 21.79
Fractional positions:
Pr (0.000, 0.000, 0.000)
Pr (0.181, 0.181, 0.000)
Pr (0.819, 0.819, 0.000)
Ho (0.370, 0.370, 0.000)
Ho (0.630, 0.630, 0.000)
Hg (0.069, 0.569, 0.500)
Hg (0.279, 0.279, 0.000)
Hg (0.431, 0.931, 0.500)
Hg (0.569, 0.069, 0.500)
Hg (0.721, 0.721, 0.000)
Hg (0.931, 0.431, 0.500)

Calculated values
The symmetry is I4/mmm. The value obtained for the size of the total moment is 0.000 μB/atom. The formation enthalpy at 0 K is -0.191 eV/atom. The value obtained for the theoretical density is 9.7 g/cm³.


> Number 6 is which compound?

ScIr2


Repeat the second record exactly.
Tm9Sc4Zn11 after structural relaxation. Source: Alexandria, functional PBE.

Lattice parameters (Å, degrees): 12.823 12.823 3.332 90.00 90.00 109.67
Fractional positions:
Tm (0.000, 0.000, 0.000)
Tm (0.125, 0.644, 0.000)
Tm (0.293, 0.465, 0.000)
Tm (0.356, 0.875, 0.000)
Tm (0.465, 0.293, 0.000)
Tm (0.535, 0.707, 0.000)
Tm (0.644, 0.125, 0.000)
Tm (0.707, 0.535, 0.000)
Tm (0.875, 0.356, 0.000)
Sc (0.068, 0.250, 0.000)
Sc (0.250, 0.068, 0.000)
Sc (0.750, 0.932, 0.000)
Sc (0.932, 0.750, 0.000)
Zn (0.085, 0.440, 0.500)
Zn (0.133, 0.867, 0.500)
Zn (0.253, 0.253, 0.500)
Zn (0.330, 0.670, 0.500)
Zn (0.440, 0.085, 0.500)
Zn (0.500, 0.500, 0.500)
Zn (0.560, 0.915, 0.500)
Zn (0.670, 0.330, 0.500)
Zn (0.747, 0.747, 0.500)
Zn (0.867, 0.133, 0.500)
Zn (0.915, 0.560, 0.500)

Calculated values
The symmetry is Cmmm. The value obtained for the size of the total moment is 0.035 μB/atom. The formation enthalpy at 0 K is -0.255 eV/atom. The value obtained for the theoretical density is 7.8 g/cm³.


> Which value of theoretical density does entry 4 give?

5.3 g/cm³


> Which value of size of the total moment does entry 5 give?

0.000 μB/atom